# La3PrDy7

A relaxed La3PrDy7 crystal (GGA-PBE, the Alexandria database).

Calculated values
V = 34.19 Å³/atom
Energy relative to the lowest polymorph listed for this composition = 0.00 kcal/mol of atoms
Energy of formation from the pure elements = 0.117 eV/atom

Cell: 6.6045 6.7482 8.7149 Å, 99.48 98.74 95.13°
Closest atoms and distances in Å follow each position.
Space group P-1 (No. 2)
Asymmetric unit:
1 La 0.0000 0.0000 0.0000 x1  8 Dy 3.45-3.79, 4 La 3.75-3.84
2 La 0.1989 0.5599 0.1616 x2  7 Dy 3.40-3.80, 2 La 3.48-3.75
3 Pr 0.5000 0.0000 0.5000 x1  8 Dy 3.37-3.67
4 Dy 0.0130 0.7664 0.5812 x2  6 Dy 3.37-3.75, 1 Pr 3.67, 2 La 3.72-3.75
5 Dy 0.2778 0.2769 0.7861 x2  6 Dy 3.43-3.75, 4 La 3.45-3.64, 1 Pr 3.45
6 Dy 0.4394 0.7934 0.8544 x2  6 Dy 3.37-3.63, 2 La 3.52-3.64, 1 Pr 3.65
7 Dy 0.5000 0.5000 0.5000 x1  2 Pr 3.37, 2 La 3.40, 6 Dy 3.48-3.60